## RbAgI2 (PBE-GGA)

Data for a relaxed structure of RbAgI2.

The structure in POSCAR format:
```
RbAgI2
1.0
-2.273 -0.956 3.908
3.238 -3.099 1.124
3.452 7.449 1.094
I Rb Ag
2 1 1
Cartesian
2.753 5.790 3.600
1.462 1.317 4.488
3.140 -1.243 2.106
3.485 3.019 3.348
```

size of the total moment: 0.00 Bohr magnetons per cell
E: -2.59 eV per atom